VASP calculation (PBE-GGA) on an optimized crystal structure of La2ScBe.

Unit cell a=3.5901 b=4.9075 c=11.8857 alpha=90.00 beta=90.00 gamma=90.00
Last column: nearest neighbours and their distance in Å.
Space group Immm (No. 71)
Inequivalent atoms, fractional coordinates:
1 La 0.0000 0.0000 0.2016 [4 per cell]  2 Be 2.99, 4 La 3.25
2 Sc 0.0000 0.5000 0.0000 [2 per cell]  4 Be 3.04
3 Be 0.0000 0.5000 0.5000 [2 per cell]  4 La 2.99, 4 Sc 3.04

Properties
* Fermi-level density of states: 4.337 states/eV/f.u.
* energy of formation from the pure elements: 246 meV/atom


VASP calculation (PBE-GGA) on an optimized crystal structure of LaScBe2.

Unit cell a=3.4134 b=4.3914 c=10.5385 alpha=90.00 beta=90.00 gamma=90.00
Last column: nearest neighbours and their distance in Å.
Space group Imm2 (No. 44)
Inequivalent atoms, fractional coordinates:
1 La 0.0000 0.0000 0.0000 [2 per cell]  8 Be 3.04-3.32, 4 Sc 3.25-3.34
2 Sc 0.0000 0.5000 0.2271 [2 per cell]  6 Be 2.74-2.81
3 Be 0.0000 0.0000 0.3831 [2 per cell]  2 Be 2.12
4 Be 0.0000 0.5000 0.7642 [2 per cell]  2 Be 2.12

Properties
* Fermi-level density of states: 3.045 states/eV/f.u.
* energy of formation from the pure elements: 170 meV/atom
* ΔE to the lowest computed polymorph: 107.7 meV/atom


VASP calculation (PBE-GGA) on an optimized crystal structure of LaScBe.

Unit cell a=6.7058 b=6.7058 c=6.7058 alpha=90.00 beta=90.00 gamma=90.00
Last column: nearest neighbours and their distance in Å.
Space group F-43m (No. 216)
Inequivalent atoms, fractional coordinates:
1 La 0.0000 0.0000 0.0000 [4 per cell]  4 Be 2.90, 4 Sc 2.90
2 Sc 0.2500 0.2500 0.2500 [4 per cell]  4 La 2.90
3 Be 0.2500 0.2500 0.7500 [4 per cell]  4 La 2.90

Properties
* Fermi-level density of states: 1.522 states/eV/f.u.
* energy of formation from the pure elements: 941 meV/atom
* ΔE to the lowest computed polymorph: 860.5 meV/atom


VASP calculation (PBE-GGA) on an optimized crystal structure of LaScBe.

Unit cell a=3.4640 b=3.4640 c=7.0868 alpha=90.00 beta=90.00 gamma=120.00
Last column: nearest neighbours and their distance in Å.
Space group P3m1 (No. 156)
Inequivalent atoms, fractional coordinates:
1 La 0.0000 0.0000 0.0000 [1 per cell]  3 Be 2.92
2 Sc 0.6667 0.3333 0.4522 [1 per cell]  3 Be 2.66
3 Be 0.3333 0.6667 0.6991 [1 per cell]  3 Sc 2.66, 3 La 2.92

Properties
* Fermi-level density of states: 3.239 states/eV/f.u.
* energy of formation from the pure elements: 334 meV/atom
* ΔE to the lowest computed polymorph: 253.5 meV/atom


Copy entry 1 word for word.
VASP calculation (PBE-GGA) on an optimized crystal structure of La2ScBe.

Unit cell a=3.5901 b=4.9075 c=11.8857 alpha=90.00 beta=90.00 gamma=90.00
Last column: nearest neighbours and their distance in Å.
Space group Immm (No. 71)
Inequivalent atoms, fractional coordinates:
1 La 0.0000 0.0000 0.2016 [4 per cell]  2 Be 2.99, 4 La 3.25
2 Sc 0.0000 0.5000 0.0000 [2 per cell]  4 Be 3.04
3 Be 0.0000 0.5000 0.5000 [2 per cell]  4 La 2.99, 4 Sc 3.04

Properties
* Fermi-level density of states: 4.337 states/eV/f.u.
* energy of formation from the pure elements: 246 meV/atom